# Mn5PbBr12, optimized geometry, DFT PBE-GGA
# Crystal system: monoclinic
# Theoretical density, kg/m3: 4170
# Formation energy (no corrections), eV/atom: -0.797
# Symmetry: C2/m, No. 12
# Fermi-level density of states, states/eV per atom: 0.0000
# Electronic total energy, eV per atom: -4.665
data_Mn5PbBr12
_cell_length_a 6.8911
_cell_length_b 6.8914
_cell_length_c 14.1367
_cell_angle_alpha 94.63
_cell_angle_beta 99.30
_cell_angle_gamma 60.00
_symmetry_space_group_name_H-M 'P 1'
_symmetry_Int_Tables_number 1
_symmetry_space_group_name_Hall 'P 1'
loop_
_atom_site_label
_atom_site_type_symbol
_atom_site_fract_x
_atom_site_fract_y
_atom_site_fract_z
Pb1 Pb 0.0000 0.0000 0.0000
Mn1 Mn 0.5000 0.0000 0.5000
Mn2 Mn 0.6666 0.6668 0.0000
Mn3 Mn 0.1666 0.6668 0.5000
Mn4 Mn 0.3334 0.3332 0.0000
Mn5 Mn 0.8334 0.3333 0.5000
Br1 Br 0.5903 0.0000 0.8855
Br2 Br 0.1305 0.0000 0.3944
Br3 Br 0.4097 0.0000 0.1145
Br4 Br 0.9620 0.3717 0.8855
Br5 Br 0.0380 0.6283 0.1145
Br6 Br 0.7997 0.6659 0.3949
Br7 Br 0.3337 0.6283 0.8855
Br8 Br 0.2003 0.3341 0.6051
Br9 Br 0.5344 0.6659 0.6051
Br10 Br 0.8695 0.0000 0.6056
Br11 Br 0.4656 0.3341 0.3949
Br12 Br 0.6663 0.3717 0.1145